No. 1
A plane-wave DFT calculation with PBE-GGA was carried out for crystalline HgAsOF2 at its relaxed geometry.

Values from the calculation:
Its space group is No. 123. As for the energy: -3.741 eV/atom. The crystal system is tetragonal.

a b c (Å): 4.4060 4.4060 3.8989
angles (deg): 90.00 90.00 90.00
With the nearest neighbours (Å) after each atom.
Positions (direct):
Hg 0.5000 0.5000 0.5000  8 F 2.94, 4 O 3.12
O 0.0000 0.0000 0.5000  2 As 1.95
F 0.0000 0.5000 0.0000  2 As 2.20
F 0.5000 0.0000 0.0000  2 As 2.20
As 0.0000 0.0000 0.0000  2 O 1.95

---

No. 2
A plane-wave DFT calculation with PBE-GGA was carried out for crystalline HgAsOF2 at its relaxed geometry.

Values from the calculation:
Its space group is No. 123. As for the energy: -2.872 eV/atom. The crystal system is tetragonal.

a b c (Å): 4.4704 4.4704 4.3286
angles (deg): 90.00 90.00 90.00
With the nearest neighbours (Å) after each atom.
Positions (direct):
Hg 0.0000 0.0000 0.0000  2 O 2.16, 4 F 2.24
As 0.5000 0.5000 0.5000  8 F 3.11, 4 O 3.16
F 0.0000 0.5000 0.0000  2 Hg 2.24
F 0.5000 0.0000 0.0000  2 Hg 2.24
O 0.0000 0.0000 0.5000  2 Hg 2.16

---

No. 3
A plane-wave DFT calculation with PBE-GGA was carried out for crystalline HgAs2OsF at its relaxed geometry.

Values from the calculation:
Its space group is No. 123. As for the energy: -4.539 eV/atom. The crystal system is tetragonal.

a b c (Å): 4.6460 5.3855 4.6460
angles (deg): 90.00 90.00 90.00
With the nearest neighbours (Å) after each atom.
Positions (direct):
As 0.0000 0.0000 0.5000  2 Os 2.32
As 0.5000 0.0000 0.0000  2 Os 2.32
Os 0.0000 0.0000 0.0000  4 As 2.32
F 0.5000 0.5000 0.5000  4 Hg 3.29, 8 As 3.56
Hg 0.0000 0.5000 0.0000  2 Os 2.69